# 1
PmTmPa2N4: relaxed, PBE.

Calculated values
formation energy from raw total energies: -1.628 eV per atom
total magnetization: 0.0 μB/cell
symmetry: No. 10

Lattice parameters (Å, degrees): 6.062 3.501 6.092 90.00 109.50 90.00
Fractional positions:
1 Pm 0.000 0.000 0.000
2 Tm 0.000 0.500 0.500
3 Pa 0.500 0.000 0.500
4 Pa 0.500 0.500 0.000
5 N 0.261 0.000 0.743
6 N 0.270 0.500 0.269
7 N 0.730 0.500 0.731
8 N 0.739 0.000 0.257



# 2
Zr2TiTl3Te6: relaxed, PBE.

Calculated values
formation energy from raw total energies: -0.598 eV per atom
total magnetization: 1.6 μB/cell
symmetry: No. 12

Lattice parameters (Å, degrees): 7.044 7.044 8.838 97.63 97.63 119.99
Fractional positions:
1 Zr 0.165 0.835 0.000
2 Zr 0.835 0.165 0.000
3 Ti 0.500 0.500 0.000
4 Tl 0.000 0.000 0.500
5 Tl 0.327 0.673 0.500
6 Tl 0.673 0.327 0.500
7 Te 0.108 0.434 0.798
8 Te 0.245 0.245 0.206
9 Te 0.434 0.108 0.798
10 Te 0.566 0.892 0.202
11 Te 0.755 0.755 0.794
12 Te 0.892 0.566 0.202



# 3
As2Pb6AuI3: relaxed, PBE.

Calculated values
formation energy from raw total energies: -0.242 eV per atom
total magnetization: 0.0 μB/cell
symmetry: No. 12

Lattice parameters (Å, degrees): 7.641 7.641 8.238 99.20 99.20 118.60
Fractional positions:
1 As 0.169 0.831 0.000
2 As 0.831 0.169 0.000
3 Pb 0.094 0.424 0.803
4 Pb 0.233 0.233 0.186
5 Pb 0.424 0.094 0.803
6 Pb 0.576 0.906 0.197
7 Pb 0.767 0.767 0.814
8 Pb 0.906 0.576 0.197
9 Au 0.500 0.500 0.000
10 I 0.000 0.000 0.500
11 I 0.331 0.669 0.500
12 I 0.669 0.331 0.500



# 4
Al8ZnGa2: relaxed, PBE.

Calculated values
DFT formation energy: 149 meV per atom
energy above the most stable polymorph in this dataset: 0.184 kcal/mol of atoms
total magnetization: 0.0 μB/cell
symmetry: No. 12

Lattice parameters (Å, degrees): 7.022 7.022 4.206 92.21 92.21 107.55
Fractional positions:
1 Al 0.042 0.305 0.518
2 Al 0.236 0.764 0.000
3 Al 0.305 0.042 0.518
4 Al 0.329 0.329 0.024
5 Al 0.671 0.671 0.976
6 Al 0.695 0.958 0.482
7 Al 0.764 0.236 0.000
8 Al 0.958 0.695 0.482
9 Zn 0.000 0.000 0.000
10 Ga 0.373 0.627 0.500
11 Ga 0.627 0.373 0.500



# 5
EuGa2Pb: relaxed, PBE.

Calculated values
DFT formation energy: -338 meV per atom
energy above the most stable polymorph in this dataset: 0.000 kcal/mol of atoms
total magnetization: 7.0 μB/cell
symmetry: No. 123

Lattice parameters (Å, degrees): 4.632 4.632 4.532 90.00 90.00 90.00
Fractional positions:
1 Eu 0.000 0.000 0.000
2 Ga 0.000 0.500 0.500
3 Ga 0.500 0.000 0.500
4 Pb 0.500 0.500 0.000



# 6
NaTaGa2Co: relaxed, PBE.

Calculated values
DFT formation energy: 1542 meV per atom
total magnetization: 2.3 μB/cell
symmetry: No. 123

Lattice parameters (Å, degrees): 5.006 5.006 5.498 90.00 90.00 90.00
Fractional positions:
1 Na 0.000 0.000 0.000
2 Ta 0.000 0.000 0.500
3 Ga 0.000 0.500 0.500
4 Ga 0.500 0.000 0.500
5 Co 0.500 0.500 0.000